This record from the Alexandria database describes crystalline Tl4Pb3 at its relaxed geometry. The functional is GGA-PBE.

Properties
ΔE to the lowest computed polymorph = 0.0 kJ/mol of atoms
density = 11.00 g/cm3
ΔE_f = -0.002 eV/atom
total moment = 0.0 μB/cell
raw total energy = -2.944 eV per atom

a b c (Å): 11.092 5.009 7.895
angles (deg): 90.00 98.02 90.00
Space group C2/m (No. 12)
Unique sites:
Tl 0.072 0.000 0.216 x4
Tl 0.213 0.000 0.644 x4
Pb 0.000 0.500 0.500 x2
Pb 0.144 0.500 0.926 x4


This record from the Alexandria database describes crystalline Re2HPbW at its relaxed geometry. The functional is GGA-PBE.

Properties
density = 17.53 g/cm3
total moment = 0.0 μB/cell
raw total energy = -7.923 eV per atom

a b c (Å): 3.949 3.949 4.646
angles (deg): 90.00 90.00 90.00
Space group P4/mmm (No. 123)
Unique sites:
Re 0.000 0.500 0.000 x2
H 0.000 0.000 0.000 x1
Pb 0.000 0.000 0.500 x1
W 0.500 0.500 0.500 x1


This record from the Alexandria database describes crystalline K2Sb2Pb at its relaxed geometry. The functional is GGA-PBE.

Properties
ΔE to the lowest computed polymorph = 0.0 kJ/mol of atoms
density = 4.67 g/cm3
total moment = 0.0 μB/cell
raw total energy = -3.171 eV per atom

a b c (Å): 12.921 5.673 11.623
angles (deg): 90.00 117.96 90.00
Space group C2/m (No. 12)
Unique sites:
K 0.011 0.000 0.184 x4
K 0.174 0.000 0.595 x4
Sb 0.029 0.500 0.393 x4
Sb 0.130 0.500 0.064 x4
Pb 0.212 0.500 0.854 x4


This record from the Alexandria database describes crystalline BiSe3O at its relaxed geometry. The functional is GGA-PBE.

Properties
ΔE to the lowest computed polymorph = 100.8 kJ/mol of atoms
density = 4.62 g/cm3
total moment = 0.0 μB/cell
raw total energy = -2.578 eV per atom

a b c (Å): 5.497 5.497 5.497
angles (deg): 90.00 90.00 90.00
Space group Pm-3m (No. 221)
Unique sites:
Bi 0.000 0.000 0.000 x1
Se 0.000 0.000 0.500 x3
O 0.500 0.500 0.500 x1


This record from the Alexandria database describes crystalline RbAs3I at its relaxed geometry. The functional is GGA-PBE.

Properties
ΔE to the lowest computed polymorph = 0.0 kJ/mol of atoms
density = 4.22 g/cm3
total moment = 1.0 μB/cell
raw total energy = -2.554 eV per atom

a b c (Å): 5.563 5.563 5.563
angles (deg): 90.00 90.00 90.00
Space group Pm-3m (No. 221)
Unique sites:
Rb 0.000 0.000 0.000 x1
As 0.000 0.500 0.500 x3
I 0.500 0.500 0.500 x1


This record from the Alexandria database describes crystalline PrEr2Ag at its relaxed geometry. The functional is GGA-PBE.

Properties
ΔE to the lowest computed polymorph = 11.9 kJ/mol of atoms
density = 8.30 g/cm3
ΔE_f = -0.013 eV/atom
total moment = 0.0 μB/cell
raw total energy = -4.202 eV per atom

a b c (Å): 3.5909 3.5909 31.3647
angles (deg): 90.00 90.00 120.00
Space group R-3m (No. 166, hexagonal axes)
Unique sites:
Pr 0.0000 0.0000 0.0000 x3
Er 0.0000 0.0000 0.2394 x6
Ag 0.0000 0.0000 0.5000 x3


This record from the Alexandria database describes crystalline Mn2NiI at its relaxed geometry. The functional is GGA-PBE.

Properties
ΔE to the lowest computed polymorph = 15.8 kJ/mol of atoms
density = 8.09 g/cm3
total moment = 3.1 μB/cell
raw total energy = -5.515 eV per atom

a b c (Å): 3.640 3.640 18.312
angles (deg): 90.00 90.00 90.00
Space group I-42d (No. 122)
Unique sites:
Mn 0.165 0.250 0.125 x8
Ni 0.000 0.000 0.000 x4
I 0.000 0.000 0.500 x4


This record from the Alexandria database describes crystalline Y3Zn9Ir2 at its relaxed geometry. The functional is GGA-PBE.

Properties
density = 8.30 g/cm3
ΔE_f = -0.413 eV/atom
total moment = 0.0 μB/cell
raw total energy = -3.883 eV per atom

a b c (Å): 4.316 8.986 12.793
angles (deg): 90.00 90.00 90.00
Space group Immm (No. 71)
Unique sites:
Y 0.000 0.000 0.000 x2
Y 0.000 0.000 0.308 x4
Zn 0.000 0.279 0.128 x8
Zn 0.000 0.360 0.335 x8
Zn 0.000 0.500 0.000 x2
Ir 0.000 0.187 0.500 x4


Please write out number 1 again, unchanged.
This record from the Alexandria database describes crystalline Tl4Pb3 at its relaxed geometry. The functional is GGA-PBE.

Properties
ΔE to the lowest computed polymorph = 0.0 kJ/mol of atoms
density = 11.00 g/cm3
ΔE_f = -0.002 eV/atom
total moment = 0.0 μB/cell
raw total energy = -2.944 eV per atom

a b c (Å): 11.092 5.009 7.895
angles (deg): 90.00 98.02 90.00
Space group C2/m (No. 12)
Unique sites:
Tl 0.072 0.000 0.216 x4
Tl 0.213 0.000 0.644 x4
Pb 0.000 0.500 0.500 x2
Pb 0.144 0.500 0.926 x4